1.
First-principles (PBE) data for crystalline SmYAsSe at its relaxed geometry, as listed in Alexandria.

Output
calculated total energy = -78.70 eV/cell
symmetry = R3m (160)

Cell lengths 4.145, 4.145, 20.461 Å; angles 90.00, 90.00, 120.00 degrees
Positions (direct):
Sm1 0.000 0.000 0.000
Sm2 0.333 0.667 0.667
Sm3 0.667 0.333 0.333
Y1 0.000 0.000 0.492
Y2 0.333 0.667 0.159
Y3 0.667 0.333 0.825
As1 0.000 0.000 0.748
As2 0.333 0.667 0.415
As3 0.667 0.333 0.081
Se1 0.000 0.000 0.244
Se2 0.333 0.667 0.911
Se3 0.667 0.333 0.577

=====

2.
First-principles (PBE) data for crystalline Pm3N2 at its relaxed geometry, as listed in Alexandria.

Output
symmetry = R-3m (166)
E above lowest polymorph = 0.000 eV per atom

Cell lengths 3.609, 3.609, 27.843 Å; angles 90.00, 90.00, 120.00 degrees
Positions (direct):
Pm1 0.000 0.000 0.000
Pm2 0.000 0.000 0.232
Pm3 0.000 0.000 0.768
Pm4 0.333 0.667 0.435
Pm5 0.333 0.667 0.667
Pm6 0.333 0.667 0.899
Pm7 0.667 0.333 0.101
Pm8 0.667 0.333 0.333
Pm9 0.667 0.333 0.565
N1 0.000 0.000 0.389
N2 0.000 0.000 0.611
N3 0.333 0.667 0.056
N4 0.333 0.667 0.277
N5 0.667 0.333 0.723
N6 0.667 0.333 0.944

=====

3.
First-principles (PBE) data for crystalline TcTeC2F at its relaxed geometry, as listed in Alexandria.

Output
calculated total energy = -29.46 eV/cell
symmetry = P4/mmm (123)

Cell lengths 3.898, 3.898, 5.431 Å; angles 90.00, 90.00, 90.00 degrees
Positions (direct):
Tc1 0.000 0.000 0.000
Te1 0.000 0.000 0.500
C1 0.000 0.500 0.000
C2 0.500 0.000 0.000
F1 0.500 0.500 0.500

=====

4.
First-principles (PBE) data for crystalline TlHg4PbAu2 at its relaxed geometry, as listed in Alexandria.

Output
symmetry = P4/mmm (123)
energy of formation from the pure elements = 0.06 eV/atom

Cell lengths 4.280, 4.280, 11.821 Å; angles 90.00, 90.00, 90.00 degrees
Positions (direct):
Tl1 0.000 0.000 0.000
Hg1 0.000 0.500 0.211
Hg2 0.000 0.500 0.789
Hg3 0.500 0.000 0.211
Hg4 0.500 0.000 0.789
Pb1 0.000 0.000 0.500
Au1 0.500 0.500 0.385
Au2 0.500 0.500 0.615

=====

5.
First-principles (PBE) data for crystalline LaTbInAg at its relaxed geometry, as listed in Alexandria.

Output
symmetry = P4mm (99)
E above lowest polymorph = 0.000 eV per atom
energy of formation from the pure elements = -0.40 eV/atom

Cell lengths 3.711, 3.711, 7.986 Å; angles 90.00, 90.00, 90.00 degrees
Positions (direct):
La1 0.000 0.000 0.000
Tb1 0.000 0.000 0.523
In1 0.500 0.500 0.274
Ag1 0.500 0.500 0.728

=====

6.
First-principles (PBE) data for crystalline Rb3Ho3ReS8 at its relaxed geometry, as listed in Alexandria.

Output
calculated total energy = -84.17 eV/cell
symmetry = R-3m (166)

Cell lengths 9.054, 9.054, 9.054 Å; angles 51.32, 51.32, 51.32 degrees
Positions (direct):
Rb1 0.000 0.500 0.500
Rb2 0.500 0.000 0.500
Rb3 0.500 0.500 0.000
Ho1 0.000 0.000 0.500
Ho2 0.000 0.500 0.000
Ho3 0.500 0.000 0.000
Re1 0.500 0.500 0.500
S1 0.230 0.230 0.230
S2 0.255 0.712 0.712
S3 0.288 0.288 0.745
S4 0.288 0.745 0.288
S5 0.712 0.255 0.712
S6 0.712 0.712 0.255
S7 0.745 0.288 0.288
S8 0.770 0.770 0.770

=====

7.
First-principles (PBE) data for crystalline NaSrNi3 at its relaxed geometry, as listed in Alexandria.

Output
symmetry = Pm-3m (221)
E above lowest polymorph = 0.000 eV per atom
energy of formation from the pure elements = 0.99 eV/atom

Cell lengths 4.665, 4.665, 4.665 Å; angles 90.00, 90.00, 90.00 degrees
Positions (direct):
Na1 0.000 0.000 0.000
Sr1 0.500 0.500 0.500
Ni1 0.000 0.000 0.500
Ni2 0.000 0.500 0.000
Ni3 0.500 0.000 0.000

=====

8.
First-principles (PBE) data for crystalline Y2AgRu2 at its relaxed geometry, as listed in Alexandria.

Output
symmetry = P4/mbm (127)
energy of formation from the pure elements = -0.18 eV/atom

Cell lengths 7.088, 7.088, 4.165 Å; angles 90.00, 90.00, 90.00 degrees
Positions (direct):
Y1 0.179 0.321 0.000
Y2 0.321 0.821 0.000
Y3 0.679 0.179 0.000
Y4 0.821 0.679 0.000
Ag1 0.000 0.000 0.500
Ag2 0.500 0.500 0.500
Ru1 0.122 0.622 0.500
Ru2 0.378 0.122 0.500
Ru3 0.622 0.878 0.500
Ru4 0.878 0.378 0.500